Below is a relaxed structure of Ce2AgIr, with properties calculated at the PBE level.

a = 6.795 Å, b = 3.554 Å, c = 7.535 Å
α = 90.00°, β = 90.00°, γ = 90.00°
Element x y z (fractional)
Ce  0.033  0.000  0.222
Ce  0.467  0.000  0.222
Ce  0.533  0.000  0.778
Ce  0.967  0.000  0.778
Ag  0.250  0.500  0.531
Ag  0.750  0.500  0.469
Ir  0.250  0.500  0.945
Ir  0.750  0.500  0.055

ΔE_f: -1.70 eV/f.u.
magnetic moment: 0.62 μB/f.u.